Density functional theory data (PBE) for crystalline ZnInI2O at its relaxed geometry.

Geometry as POSCAR:
```
ZnInI2O
1.0
-0.176 3.298 5.595
-4.639 -3.981 2.200
2.471 -2.139 1.339
I O Zn In
2 1 1 1
Direct
0.000 0.500 0.000
0.500 0.000 0.000
0.000 0.000 0.500
0.000 0.000 0.000
0.500 0.500 0.500
```

Summary:
- Energy relative to the lowest polymorph listed for this composition: 0 meV per atom
- Mass density: 5.01 g cm⁻³
- VASP energy: -0.205 Ry per atom
- Formation energy without anion corrections: -0.369 eV per atom
- Space group: P4/mmm (123)



Density functional theory data (PBE) for crystalline ZrMnCo2C at its relaxed geometry.

Geometry as POSCAR:
```
ZrMnCo2C
1.0
3.840 0.000 0.000
0.000 3.840 0.000
0.000 0.000 3.903
Zr Mn C Co
1 1 1 2
Direct
0.500 0.500 0.500
0.000 0.000 0.500
0.000 0.000 0.000
0.500 0.000 0.000
0.000 0.500 0.000
```

Summary:
- Mass density: 7.96 g cm⁻³
- VASP energy: -0.621 Ry per atom
- DFT formation energy: -213 meV/atom
- Space group: P4/mmm (123)



Density functional theory data (PBE) for crystalline Pr4ErCu5 at its relaxed geometry.

Geometry as POSCAR:
```
Pr4ErCu5
1.0
3.560 0.000 0.000
0.000 3.560 0.000
0.000 0.000 18.123
Pr Cu Er
4 5 1
Direct
0.000 0.000 0.398
0.000 0.000 0.194
0.000 0.000 0.602
0.000 0.000 0.806
0.500 0.500 0.914
0.500 0.500 0.702
0.500 0.500 0.298
0.500 0.500 0.086
0.500 0.500 0.500
0.000 0.000 0.000
```

Summary:
- Mass density: 7.58 g cm⁻³
- VASP energy: -0.336 Ry per atom
- DFT formation energy: -149 meV/atom
- Space group: P4/mmm (123)



Density functional theory data (PBE) for crystalline Pm5SiGe6 at its relaxed geometry.

Geometry as POSCAR:
```
Pm5SiGe6
1.0
7.608 -0.147 0.000
1.881 7.507 0.000
0.941 3.753 5.273
Ge Si Pm
6 1 5
Direct
0.767 0.106 0.260
0.763 0.753 0.000
0.237 0.247 0.000
0.233 0.634 0.260
0.233 0.894 0.740
0.767 0.366 0.740
0.000 0.000 0.000
0.000 0.310 0.379
0.500 0.829 0.342
0.500 0.500 0.000
0.500 0.171 0.658
0.000 0.690 0.621
```

Summary:
- Mass density: 6.52 g cm⁻³
- VASP energy: -0.379 Ry per atom
- Formation energy without anion corrections: -0.423 eV per atom
- Space group: C2/m (12)



Density functional theory data (PBE) for crystalline Zn3AgTe at its relaxed geometry.

Geometry as POSCAR:
```
Zn3AgTe
1.0
4.943 0.000 0.000
0.000 4.943 0.000
0.000 0.000 4.943
Zn Ag Te
3 1 1
Direct
0.000 0.000 0.500
0.500 0.000 0.000
0.000 0.500 0.000
0.000 0.000 0.000
0.500 0.500 0.500
```

Summary:
- Energy relative to the lowest polymorph listed for this composition: 0 meV per atom
- Mass density: 5.93 g cm⁻³
- VASP energy: -0.120 Ry per atom
- Formation energy without anion corrections: 0.334 eV per atom
- Space group: Pm-3m (221)



Density functional theory data (PBE) for crystalline Ba4Tc3HgO12 at its relaxed geometry.

Geometry as POSCAR:
```
Ba4Tc3HgO12
1.0
-3.850 -5.535 2.531
0.454 -0.473 -7.172
6.615 -0.179 2.842
O Ba Hg Tc
12 4 1 3
Direct
0.250 0.750 0.500
0.000 0.728 0.728
0.728 0.000 0.728
0.000 0.272 0.272
0.500 0.250 0.750
0.500 0.750 0.250
0.250 0.500 0.750
0.272 0.272 0.000
0.728 0.728 0.000
0.750 0.250 0.500
0.750 0.500 0.250
0.272 0.000 0.272
0.000 0.000 0.500
0.500 0.500 0.500
0.500 0.000 0.000
0.000 0.500 0.000
0.000 0.000 0.000
0.500 0.000 0.500
0.000 0.500 0.500
0.500 0.500 0.000
```

Summary:
- Mass density: 7.14 g cm⁻³
- VASP energy: -0.497 Ry per atom
- Formation energy without anion corrections: -1.839 eV per atom
- Space group: Im-3m (229)